[1]
Computed, not measured: an optimized crystal structure of KCa3Re at the GGA-PBE level of DFT.

abc: 5.733 5.733 5.733
angles: 90.00 90.00 90.00
Element x y z (fractional)
K1 0.000 0.000 0.000
Ca1 0.000 0.500 0.500
Ca2 0.500 0.000 0.500
Ca3 0.500 0.500 0.000
Re1 0.500 0.500 0.500

Results
Distance to the lowest polymorph of the same formula (meV/atom): 0
M_tot (μB/f.u.): 0.00
Electronic total energy (eV per atom): -3.295
Space group: Pm-3m, No. 221
ΔH_f (0 K) (meV/atom): 615



[2]
Computed, not measured: an optimized crystal structure of KCaRe2 at the GGA-PBE level of DFT.

abc: 5.366 10.856 2.695
angles: 90.00 90.00 90.00
Element x y z (fractional)
K1 0.000 0.000 0.000
K2 0.500 0.500 0.000
Ca1 0.000 0.500 0.000
Ca2 0.500 0.000 0.000
Re1 0.250 0.250 0.500
Re2 0.250 0.750 0.500
Re3 0.750 0.250 0.500
Re4 0.750 0.750 0.500

Results
Distance to the lowest polymorph of the same formula (meV/atom): 619
M_tot (μB/f.u.): 0.00
Electronic total energy (eV per atom): -5.787
Space group: Cmmm, No. 65
ΔH_f (0 K) (meV/atom): 1212



[3]
Computed, not measured: an optimized crystal structure of KCaRe2 at the GGA-PBE level of DFT.

abc: 7.226 7.226 7.226
angles: 90.00 90.00 90.00
Element x y z (fractional)
K1 0.000 0.000 0.000
K2 0.000 0.500 0.500
K3 0.500 0.000 0.500
K4 0.500 0.500 0.000
Ca1 0.000 0.000 0.500
Ca2 0.000 0.500 0.000
Ca3 0.500 0.000 0.000
Ca4 0.500 0.500 0.500
Re1 0.250 0.250 0.250
Re2 0.250 0.250 0.750
Re3 0.250 0.750 0.250
Re4 0.250 0.750 0.750
Re5 0.750 0.250 0.250
Re6 0.750 0.250 0.750
Re7 0.750 0.750 0.250
Re8 0.750 0.750 0.750

Results
Distance to the lowest polymorph of the same formula (meV/atom): 1637
M_tot (μB/f.u.): 5.12
Electronic total energy (eV per atom): -4.769
Space group: Fm-3m, No. 225
ΔH_f (0 K) (meV/atom): 2230



[4]
Computed, not measured: an optimized crystal structure of KCaRe2 at the GGA-PBE level of DFT.

abc: 3.330 4.348 11.013
angles: 90.00 90.00 90.00
Element x y z (fractional)
K1 0.000 0.000 0.000
K2 0.500 0.500 0.000
Ca1 0.000 0.000 0.500
Ca2 0.500 0.500 0.500
Re1 0.000 0.500 0.270
Re2 0.000 0.500 0.730
Re3 0.500 0.000 0.270
Re4 0.500 0.000 0.730

Results
Distance to the lowest polymorph of the same formula (meV/atom): 506
M_tot (μB/f.u.): 0.00
Electronic total energy (eV per atom): -5.900
Space group: Cmmm, No. 65
ΔH_f (0 K) (meV/atom): 1099



[5]
Computed, not measured: an optimized crystal structure of KCaRe2 at the GGA-PBE level of DFT.

abc: 2.874 2.874 33.390
angles: 90.00 90.00 120.00
Element x y z (fractional)
K1 0.000 0.000 0.000
K2 0.333 0.667 0.667
K3 0.667 0.333 0.333
Ca1 0.000 0.000 0.500
Ca2 0.333 0.667 0.167
Ca3 0.667 0.333 0.833
Re1 0.000 0.000 0.244
Re2 0.000 0.000 0.756
Re3 0.333 0.667 0.423
Re4 0.333 0.667 0.911
Re5 0.667 0.333 0.089
Re6 0.667 0.333 0.577

Results
Distance to the lowest polymorph of the same formula (meV/atom): 603
M_tot (μB/f.u.): 0.00
Electronic total energy (eV per atom): -5.803
Space group: R-3m, No. 166
ΔH_f (0 K) (meV/atom): 1196



[6]
Computed, not measured: an optimized crystal structure of K2CaRe at the GGA-PBE level of DFT.

abc: 8.245 8.245 8.245
angles: 90.00 90.00 90.00
Element x y z (fractional)
K1 0.250 0.250 0.250
K2 0.250 0.250 0.750
K3 0.250 0.750 0.250
K4 0.250 0.750 0.750
K5 0.750 0.250 0.250
K6 0.750 0.250 0.750
K7 0.750 0.750 0.250
K8 0.750 0.750 0.750
Ca1 0.000 0.000 0.000
Ca2 0.000 0.500 0.500
Ca3 0.500 0.000 0.500
Ca4 0.500 0.500 0.000
Re1 0.000 0.000 0.500
Re2 0.000 0.500 0.000
Re3 0.500 0.000 0.000
Re4 0.500 0.500 0.500

Results
Distance to the lowest polymorph of the same formula (meV/atom): 500
M_tot (μB/f.u.): 2.86
Electronic total energy (eV per atom): -2.642
Space group: Fm-3m, No. 225
ΔH_f (0 K) (meV/atom): 1519



[7]
Computed, not measured: an optimized crystal structure of K2CaRe at the GGA-PBE level of DFT.

abc: 4.613 4.613 26.130
angles: 90.00 90.00 90.00
Element x y z (fractional)
K1 0.234 0.250 0.125
K2 0.250 0.734 0.375
K3 0.250 0.766 0.875
K4 0.266 0.250 0.625
K5 0.734 0.750 0.625
K6 0.750 0.234 0.875
K7 0.750 0.266 0.375
K8 0.766 0.750 0.125
Ca1 0.000 0.000 0.500
Ca2 0.000 0.500 0.750
Ca3 0.500 0.000 0.250
Ca4 0.500 0.500 0.000
Re1 0.000 0.000 0.000
Re2 0.000 0.500 0.250
Re3 0.500 0.000 0.750
Re4 0.500 0.500 0.500

Results
Distance to the lowest polymorph of the same formula (meV/atom): 413
M_tot (μB/f.u.): 3.00
Electronic total energy (eV per atom): -2.729
Space group: I-42d, No. 122
ΔH_f (0 K) (meV/atom): 1432



[8]
Computed, not measured: an optimized crystal structure of K2CaRe at the GGA-PBE level of DFT.

abc: 3.001 6.407 5.947
angles: 90.00 91.22 90.00
Element x y z (fractional)
K1 0.214 0.000 0.230
K2 0.786 0.000 0.770
Ca1 0.000 0.500 0.500
Re1 0.500 0.500 0.000

Results
Distance to the lowest polymorph of the same formula (meV/atom): 261
M_tot (μB/f.u.): 0.27
Electronic total energy (eV per atom): -2.882
Space group: P2/m, No. 10
ΔH_f (0 K) (meV/atom): 1280